*a*
Compound: CdAg4Au
Source: the Alexandria database
Functional: GGA-PBE
Structure: relaxed

a b c (Å): 4.7238 4.7238 5.7470
angles (deg): 87.70 87.70 118.60
Fractional coordinates of all 6 atoms:
Ag 0.3403 0.1777 0.2471
Ag 0.6597 0.8223 0.7529
Ag 0.3223 0.1597 0.7529
Ag 0.6777 0.8403 0.2471
Au 0.0000 0.5000 0.0000
Cd 0.0000 0.5000 0.5000

Properties
total magnetization	0.0	μB/cell


*b*
Compound: CdAg4Au
Source: the Alexandria database
Functional: GGA-PBE
Structure: relaxed

a b c (Å): 5.6367 5.6367 8.2810
angles (deg): 89.99 90.00 90.00
Fractional coordinates of all 12 atoms:
Cd 0.5000 0.0000 0.5000
Cd 0.0000 0.5000 0.5000
Ag 0.7506 0.7497 0.7573
Ag 0.2495 0.2507 0.7573
Ag 0.2506 0.7503 0.2427
Ag 0.2494 0.2503 0.2427
Ag 0.7505 0.7493 0.2427
Ag 0.7494 0.2497 0.7573
Ag 0.2505 0.7507 0.7573
Ag 0.7495 0.2493 0.2427
Au 0.0000 0.0000 0.0000
Au 0.5000 0.5000 0.0000

Properties
total magnetization	0.0	μB/cell


Verdict on stability: *a* comes out on top.


*a*
Compound: CdAg2Au8
Source: the Alexandria database
Functional: GGA-PBE
Structure: relaxed

a b c (Å): 4.9674 7.0418 7.0418
angles (deg): 84.31 77.21 77.21
Fractional coordinates of all 11 atoms:
Au 0.2030 0.8361 0.3302
Au 0.7070 0.5729 0.5729
Au 0.8779 0.2782 0.2782
Au 0.2030 0.3302 0.8361
Au 0.7970 0.1639 0.6698
Au 0.2930 0.4271 0.4271
Au 0.1221 0.7218 0.7218
Au 0.7970 0.6698 0.1639
Ag 0.5513 0.8528 0.8528
Ag 0.4487 0.1472 0.1472
Cd 0.0000 0.0000 0.0000

Properties
total magnetization	0.0	μB/cell


*b*
Compound: CdAg2Au8
Source: the Alexandria database
Functional: GGA-PBE
Structure: relaxed

a b c (Å): 4.1674 6.5799 7.8276
angles (deg): 104.05 105.44 90.00
Fractional coordinates of all 11 atoms:
Ag 0.7736 0.3659 0.5471
Ag 0.2264 0.6341 0.4529
Au 0.4083 0.5464 0.8167
Au 0.6828 0.9095 0.3656
Au 0.5917 0.4536 0.1833
Au 0.3172 0.0905 0.6344
Au 0.1375 0.1830 0.2751
Au 0.9535 0.2739 0.9070
Au 0.8625 0.8170 0.7249
Au 0.0465 0.7261 0.0930
Cd 0.5000 0.0000 0.0000

Properties
total magnetization	0.0	μB/cell


Verdict on stability: *b* comes out on top.


*a*
Compound: CdAg5Au4
Source: the Alexandria database
Functional: GGA-PBE
Structure: relaxed

a b c (Å): 5.0200 9.5870 8.6091
angles (deg): 90.00 90.00 90.00
Fractional coordinates of all 20 atoms:
Ag 0.0798 0.0000 0.5000
Ag 0.7538 0.2468 0.1670
Ag 0.2462 0.2532 0.6670
Ag 0.2462 0.7468 0.6670
Ag 0.7538 0.7532 0.8330
Ag 0.9202 0.5000 0.0000
Ag 0.2462 0.2532 0.3330
Ag 0.7538 0.7532 0.1670
Ag 0.2462 0.7468 0.3330
Ag 0.7538 0.2468 0.8330
Au 0.5717 0.0000 0.6737
Au 0.7539 0.2433 0.5000
Au 0.7539 0.7567 0.5000
Au 0.5717 0.0000 0.3263
Au 0.2461 0.7433 0.0000
Au 0.2461 0.2567 0.0000
Au 0.4283 0.5000 0.1737
Au 0.4283 0.5000 0.8263
Cd 0.5170 0.0000 0.0000
Cd 0.4830 0.5000 0.5000

Properties
total magnetization	0.0	μB/cell


*b*
Compound: CdAg5Au4
Source: the Alexandria database
Functional: GGA-PBE
Structure: relaxed

a b c (Å): 5.0931 5.9594 6.5593
angles (deg): 103.35 104.43 72.73
Fractional coordinates of all 10 atoms:
Ag 0.9033 0.5974 0.7997
Ag 0.3001 0.2011 0.5976
Ag 0.0967 0.4026 0.2003
Ag 0.5000 0.5000 0.0000
Ag 0.6999 0.7989 0.4024
Au 0.6990 0.3014 0.4016
Au 0.3010 0.6986 0.5984
Au 0.0983 0.8993 0.2007
Au 0.9017 0.1007 0.7993
Cd 0.5000 0.0000 0.0000

Properties
total magnetization	0.0	μB/cell


Verdict on stability: *b* comes out on top.


*a*
Compound: CdAg8Au2
Source: the Alexandria database
Functional: GGA-PBE
Structure: relaxed

a b c (Å): 4.1653 6.5839 7.8022
angles (deg): 104.31 105.48 90.00
Fractional coordinates of all 11 atoms:
Ag 0.6827 0.9101 0.3654
Ag 0.4088 0.5438 0.8177
Ag 0.8628 0.8150 0.7257
Ag 0.9534 0.2742 0.9068
Ag 0.0466 0.7258 0.0932
Ag 0.5912 0.4562 0.1823
Ag 0.3173 0.0899 0.6347
Ag 0.1372 0.1850 0.2743
Cd 0.5000 0.0000 0.0000
Au 0.7730 0.3630 0.5460
Au 0.2270 0.6370 0.4540

Properties
total magnetization	0.0	μB/cell


*b*
Compound: CdAg8Au2
Source: the Alexandria database
Functional: GGA-PBE
Structure: relaxed

a b c (Å): 4.9092 7.0734 7.0734
angles (deg): 85.38 79.02 79.02
Fractional coordinates of all 11 atoms:
Ag 0.2060 0.8293 0.3347
Ag 0.7940 0.1707 0.6653
Ag 0.8699 0.2785 0.2785
Ag 0.1301 0.7215 0.7215
Ag 0.7940 0.6653 0.1707
Ag 0.7091 0.5750 0.5750
Ag 0.2909 0.4250 0.4250
Ag 0.2060 0.3347 0.8293
Cd 0.0000 0.0000 0.0000
Au 0.4406 0.1447 0.1447
Au 0.5594 0.8553 0.8553

Properties
total magnetization	0.0	μB/cell


Verdict on stability: *a* comes out on top.


*a*
Compound: Cd2Ag3Au2
Source: the Alexandria database
Functional: GGA-PBE
Structure: relaxed

a b c (Å): 2.9713 7.1328 7.3258
angles (deg): 62.16 88.13 77.58
Fractional coordinates of all 7 atoms:
Cd 0.6170 0.7294 0.8229
Cd 0.3830 0.2706 0.1771
Ag 0.7229 0.5956 0.2699
Ag 0.0000 0.0000 0.0000
Ag 0.2771 0.4044 0.7301
Au 0.9046 0.1557 0.5723
Au 0.0954 0.8443 0.4277

Properties
total magnetization	0.0	μB/cell


*b*
Compound: Cd2Ag3Au2
Source: the Alexandria database
Functional: GGA-PBE
Structure: relaxed

a b c (Å): 4.2238 5.1176 6.7149
angles (deg): 97.79 90.00 114.37
Fractional coordinates of all 7 atoms:
Cd 0.0741 0.1482 0.7209
Cd 0.9259 0.8518 0.2791
Ag 0.6418 0.2837 0.4268
Ag 0.5000 0.0000 0.0000
Ag 0.3582 0.7163 0.5732
Au 0.2149 0.4298 0.1476
Au 0.7851 0.5702 0.8524

Properties
total magnetization	0.0	μB/cell


Verdict on stability: *b* comes out on top.